Here is Mg2Ta after structural relaxation from Alexandria via LeMat-Bulk. Energies are from PBE.

abc: 7.0239 7.0239 4.0197
angles: 90.00 90.00 142.65
Closest atoms and distances in Å follow each position.
Sites, in units of the cell vectors:
Mg 0.5799 0.4201 0.7500  6 Mg 2.93-3.18, 6 Ta 3.01-3.02
Mg 0.4201 0.5799 0.2500  6 Mg 2.93-3.18, 6 Ta 3.01-3.02
Mg 0.2487 0.7513 0.7500  8 Mg 3.02-3.18, 4 Ta 3.11-3.29
Mg 0.7513 0.2487 0.2500  8 Mg 3.02-3.18, 4 Ta 3.11-3.29
Ta 0.9293 0.0707 0.7500  2 Ta 2.75, 6 Mg 3.01-3.02
Ta 0.0707 0.9293 0.2500  2 Ta 2.75, 6 Mg 3.01-3.02

## Properties
E_form = 0.308 eV/atom
Space-group type = Cmcm (63)
Excess energy over the best structure of this formula in the dataset = 105 meV/atom